## Cs2RbPI6 (GGA-PBE)

Data for crystalline Cs2RbPI6 at its relaxed geometry.

## Properties
E_form (uncorrected) (meV per atom): -878
Offset from the most stable computed form (meV per atom): 17.0
D(E_F) (states/eV/cell): 0.0

abc: 8.897 8.897 8.897
angles: 60.00 60.00 60.00
Atoms (fractional coordinates):
Cs1 0.250 0.250 0.250
Cs2 0.750 0.750 0.750
Rb1 0.000 0.000 0.000
P1 0.500 0.500 0.500
I1 0.277 0.277 0.723
I2 0.277 0.723 0.277
I3 0.277 0.723 0.723
I4 0.723 0.277 0.277
I5 0.723 0.277 0.723
I6 0.723 0.723 0.277

---

## TlIr2Au (GGA-PBE)

Data for crystalline TlIr2Au at its relaxed geometry.

## Properties
Offset from the most stable computed form (meV per atom): 205.8
D(E_F) (states/eV/cell): 5.2
E_form (eV/f.u.): 2.37

abc: 9.113 9.113 9.113
angles: 18.91 18.91 18.91
Atoms (fractional coordinates):
Tl1 0.000 0.000 0.000
Ir1 0.249 0.249 0.249
Ir2 0.751 0.751 0.751
Au1 0.500 0.500 0.500

---

## TaBeCd2 (GGA-PBE)

Data for crystalline TaBeCd2 at its relaxed geometry.

## Properties
D(E_F) (states/eV/cell): 3.7
E_form (eV/f.u.): 2.35

abc: 5.348 5.348 5.348
angles: 137.05 137.05 62.36
Atoms (fractional coordinates):
Ta1 0.000 0.000 0.000
Be1 0.500 0.500 0.000
Cd1 0.250 0.750 0.500
Cd2 0.750 0.250 0.500

---

## LaMoC3 (GGA-PBE)

Data for crystalline LaMoC3 at its relaxed geometry.

## Properties
Offset from the most stable computed form (meV per atom): 0.0
D(E_F) (states/eV/cell): 3.0
E_form (eV/f.u.): 3.22

abc: 4.129 4.129 4.129
angles: 90.00 90.00 90.00
Atoms (fractional coordinates):
La1 0.000 0.000 0.000
Mo1 0.500 0.500 0.500
C1 0.000 0.500 0.500
C2 0.500 0.000 0.500
C3 0.500 0.500 0.000

---

## Nd3PtAu (GGA-PBE)

Data for crystalline Nd3PtAu at its relaxed geometry.

## Properties
Offset from the most stable computed form (meV per atom): 70.7
D(E_F) (states/eV/cell): 9.6
E_form (eV/f.u.): -3.52

abc: 4.209 7.608 10.153
angles: 85.65 78.16 73.96
Atoms (fractional coordinates):
Nd1 0.020 0.135 0.326
Nd2 0.270 0.338 0.623
Nd3 0.348 0.761 0.039
Nd4 0.652 0.239 0.961
Nd5 0.730 0.662 0.377
Nd6 0.980 0.865 0.674
Pt1 0.317 0.046 0.821
Pt2 0.683 0.954 0.179
Au1 0.414 0.424 0.247
Au2 0.586 0.576 0.753

---

## ZrIn3 (GGA-PBE)

Data for crystalline ZrIn3 at its relaxed geometry.

## Properties
D(E_F) (states/eV/cell): 5.0
E_form (eV/f.u.): -0.43

abc: 5.367 6.018 5.762
angles: 90.00 90.00 90.00
Atoms (fractional coordinates):
Zr1 0.250 0.250 0.129
Zr2 0.750 0.750 0.871
In1 0.250 0.004 0.640
In2 0.250 0.496 0.640
In3 0.250 0.750 0.142
In4 0.750 0.250 0.858
In5 0.750 0.504 0.360
In6 0.750 0.996 0.360

---

## Cs2ZnRh (GGA-PBE)

Data for crystalline Cs2ZnRh at its relaxed geometry.

## Properties
Offset from the most stable computed form (meV per atom): 0.0
D(E_F) (states/eV/cell): 6.1
E_form (eV/f.u.): 1.40

abc: 8.124 8.124 8.124
angles: 95.50 95.50 143.93
Atoms (fractional coordinates):
Cs1 0.375 0.242 0.367
Cs2 0.758 0.125 0.133
Cs3 0.875 0.008 0.633
Cs4 0.992 0.625 0.867
Zn1 0.250 0.750 0.500
Zn2 0.500 0.500 0.000
Rh1 0.000 0.000 0.000
Rh2 0.750 0.250 0.500

---

## HoCdAuO4 (GGA-PBE)

Data for crystalline HoCdAuO4 at its relaxed geometry.

## Properties
E_form (uncorrected) (meV per atom): -1490
D(E_F) (states/eV/cell): 0.8

abc: 6.916 6.916 6.916
angles: 124.60 121.38 84.92
Atoms (fractional coordinates):
Ho1 0.000 0.000 0.000
Ho2 0.500 0.000 0.500
Cd1 0.390 0.640 0.750
Cd2 0.610 0.360 0.250
Au1 0.000 0.000 0.500
Au2 0.000 0.500 0.000
O1 0.173 0.230 0.943
O2 0.212 0.770 0.443
O3 0.291 0.255 0.465
O4 0.291 0.826 0.035
O5 0.709 0.174 0.965
O6 0.709 0.745 0.535
O7 0.788 0.230 0.557
O8 0.827 0.770 0.057

---

## TlCuSn (GGA-PBE)

Data for crystalline TlCuSn at its relaxed geometry.

## Properties
D(E_F) (states/eV/cell): 4.8
E_form (eV/f.u.): 0.43

abc: 8.382 4.607 7.204
angles: 90.00 90.00 90.00
Atoms (fractional coordinates):
Tl1 0.015 0.250 0.178
Tl2 0.485 0.750 0.678
Tl3 0.515 0.250 0.322
Tl4 0.985 0.750 0.822
Cu1 0.108 0.750 0.436
Cu2 0.392 0.250 0.936
Cu3 0.608 0.750 0.064
Cu4 0.892 0.250 0.564
Sn1 0.220 0.250 0.610
Sn2 0.280 0.750 0.110
Sn3 0.720 0.250 0.890
Sn4 0.780 0.750 0.390

---

## VN (GGA-PBE)

Data for crystalline VN at its relaxed geometry.

## Properties
E_form (uncorrected) (meV per atom): -853
D(E_F) (states/eV/cell): 6.6

abc: 3.159 9.803 4.457
angles: 90.00 90.00 90.00
Atoms (fractional coordinates):
V1 0.250 0.106 0.041
V2 0.250 0.394 0.041
V3 0.250 0.750 0.399
V4 0.750 0.250 0.601
V5 0.750 0.606 0.959
V6 0.750 0.894 0.959
N1 0.250 0.250 0.327
N2 0.250 0.579 0.198
N3 0.250 0.921 0.198
N4 0.750 0.079 0.802
N5 0.750 0.421 0.802
N6 0.750 0.750 0.673

---

## Al2PtAu (GGA-PBE)

Data for crystalline Al2PtAu at its relaxed geometry.

## Properties
Offset from the most stable computed form (meV per atom): 127.3
D(E_F) (states/eV/cell): 1.0
E_form (eV/f.u.): -2.28

abc: 4.986 4.986 4.986
angles: 134.53 134.37 66.39
Atoms (fractional coordinates):
Al1 0.000 0.000 0.000
Al2 0.749 0.249 0.500
Pt1 0.500 0.500 0.000
Au1 0.250 0.750 0.500

---

## Mn2Nb2Al5Pd (GGA-PBE)

Data for crystalline Mn2Nb2Al5Pd at its relaxed geometry.

## Properties
D(E_F) (states/eV/cell): 14.3
E_form (eV/f.u.): -2.55

abc: 8.700 8.700 4.009
angles: 90.00 90.00 90.00
Atoms (fractional coordinates):
Mn1 0.119 0.381 0.000
Mn2 0.381 0.881 0.000
Mn3 0.619 0.119 0.000
Mn4 0.881 0.619 0.000
Nb1 0.174 0.674 0.000
Nb2 0.326 0.174 0.000
Nb3 0.674 0.826 0.000
Nb4 0.826 0.326 0.000
Al1 0.000 0.500 0.500
Al2 0.070 0.208 0.500
Al3 0.208 0.930 0.500
Al4 0.292 0.430 0.500
Al5 0.430 0.708 0.500
Al6 0.500 0.000 0.500
Al7 0.570 0.292 0.500
Al8 0.708 0.570 0.500
Al9 0.792 0.070 0.500
Al10 0.930 0.792 0.500
Pd1 0.000 0.000 0.000
Pd2 0.500 0.500 0.000

---

## ZnSb2Pb (GGA-PBE)

Data for crystalline ZnSb2Pb at its relaxed geometry.

## Properties
E_form (uncorrected) (meV per atom): 104
D(E_F) (states/eV/cell): 1.5

abc: 4.399 4.182 6.283
angles: 90.00 109.11 90.00
Atoms (fractional coordinates):
Zn1 0.000 0.000 0.000
Sb1 0.419 0.500 0.212
Sb2 0.581 0.500 0.788
Pb1 0.000 0.000 0.500